[1]
{
  "formula": "YMg4Cu2",
  "functional": "PBE",
  "state": "relaxed",
  "lattice": [[-0.4728, -2.2570, -5.2474], [2.8083, -2.5537, 4.2947], [-5.4192, 0.0662, 1.8655]],
  "species": ["Y", "Mg", "Mg", "Mg", "Mg", "Cu", "Cu"],
  "frac_coords": [[0.0000, 0.0000, 0.0000], [0.3022, 0.6978, 0.0000], [0.3022, 0.3022, 0.6044], [0.6978, 0.6978, 0.3956], [0.6978, 0.3022, 0.0000], [0.7500, 0.2500, 0.5000], [0.2500, 0.7500, 0.5000]],
  "polymorph_energy_mev_per_atom": 144
}

=====

[2]
{
  "formula": "Y2MgCu4",
  "functional": "PBE",
  "state": "relaxed",
  "lattice": [[-2.5429, -5.3637, -4.0728], [6.7229, -0.1522, -2.5695], [-0.7179, -0.7776, 7.1206]],
  "species": ["Cu", "Cu", "Cu", "Cu", "Cu", "Cu", "Cu", "Cu", "Mg", "Mg", "Y", "Y", "Y", "Y"],
  "frac_coords": [[0.1604, 0.9511, 0.5000], [0.6604, 0.1604, 0.2094], [0.4511, 0.6604, 0.5000], [0.3396, 0.8396, 0.7906], [0.9511, 0.4511, 0.7906], [0.5489, 0.3396, 0.5000], [0.8396, 0.0489, 0.5000], [0.0489, 0.5489, 0.2094], [0.7500, 0.7500, 0.0000], [0.2500, 0.2500, 0.0000], [0.1605, 0.3395, 0.5000], [0.8395, 0.6605, 0.5000], [0.3395, 0.8395, 0.1789], [0.6605, 0.1605, 0.8211]],
  "polymorph_energy_mev_per_atom": 0
}

=====

Number 1: DFT formation energy 0.02 eV per atom. Number 2: DFT formation energy -0.17 eV per atom.